This record from Alexandria describes an optimized crystal structure of SrGaSi3. The functional is GGA-PBE.

The structure belongs to space group Pm-3m (No. 221); the cell edges are 4.9328, 4.9328 and 4.9328 Å and the angles 90.00°, 90.00° and 90.00°. The inequivalent atoms are Sr at (0.0000, 0.0000, 0.0000), Ga at (0.5000, 0.5000, 0.5000) and Si at (0.0000, 0.5000, 0.5000).

The magnetization is 0.0 μB/cell. For the electronic total energy, the calculation gives -18.9 eV/f.u. Its density of states at the Fermi level is 0.465 states/eV/atom. The energy relative to the elements, uncorrected is 0.42 eV per atom. As for the theoretical density: 3.3 g/cm³.